No. 1
Below is a relaxed structure of NaDyAu, with properties calculated at the PBE level.

Unit cell a=6.9126 b=6.9126 c=6.9126 alpha=90.00 beta=90.00 gamma=90.00
Last column: nearest neighbours and their distance in Å.
Atoms (fractional coordinates):
Na: 0.0000 0.0000 0.0000  4 Dy 2.99
Na: 0.0000 0.5000 0.5000  4 Dy 2.99
Na: 0.5000 0.0000 0.5000  4 Dy 2.99
Na: 0.5000 0.5000 0.0000  4 Dy 2.99
Dy: 0.2500 0.2500 0.7500  4 Au 2.99, 4 Na 2.99
Dy: 0.2500 0.7500 0.2500  4 Au 2.99, 4 Na 2.99
Dy: 0.7500 0.2500 0.2500  4 Au 2.99, 4 Na 2.99
Dy: 0.7500 0.7500 0.7500  4 Au 2.99, 4 Na 2.99
Au: 0.0000 0.0000 0.5000  4 Dy 2.99
Au: 0.0000 0.5000 0.0000  4 Dy 2.99
Au: 0.5000 0.0000 0.0000  4 Dy 2.99
Au: 0.5000 0.5000 0.5000  4 Dy 2.99

Results
Crystal system: cubic
Offset from the most stable computed form (meV/atom): 363
E_tot (eV/atom): -3.001
Total magnetization (μB per cell): 0.00

=====

No. 2
Below is a relaxed structure of NaDyAu, with properties calculated at the PBE level.

Unit cell a=6.9034 b=6.9034 c=6.9034 alpha=90.00 beta=90.00 gamma=90.00
Last column: nearest neighbours and their distance in Å.
Atoms (fractional coordinates):
Na: 0.0000 0.0000 0.0000  4 Au 2.99
Na: 0.0000 0.5000 0.5000  4 Au 2.99
Na: 0.5000 0.0000 0.5000  4 Au 2.99
Na: 0.5000 0.5000 0.0000  4 Au 2.99
Dy: 0.0000 0.0000 0.5000  4 Au 2.99
Dy: 0.0000 0.5000 0.0000  4 Au 2.99
Dy: 0.5000 0.0000 0.0000  4 Au 2.99
Dy: 0.5000 0.5000 0.5000  4 Au 2.99
Au: 0.2500 0.2500 0.7500  4 Dy 2.99, 4 Na 2.99
Au: 0.2500 0.7500 0.2500  4 Dy 2.99, 4 Na 2.99
Au: 0.7500 0.2500 0.2500  4 Dy 2.99, 4 Na 2.99
Au: 0.7500 0.7500 0.7500  4 Dy 2.99, 4 Na 2.99

Results
Crystal system: cubic
Offset from the most stable computed form (meV/atom): 0
E_tot (eV/atom): -3.364
Total magnetization (μB per cell): 0.01

=====

No. 3
Below is a relaxed structure of NaDyTe3Au, with properties calculated at the PBE level.

Unit cell a=7.9039 b=7.9039 c=11.1386 alpha=90.00 beta=90.00 gamma=149.44
Last column: nearest neighbours and their distance in Å.
Atoms (fractional coordinates):
Na: 0.2259 0.7741 0.7500  6 Te 3.25-3.45
Na: 0.7741 0.2259 0.2500  6 Te 3.25-3.45
Dy: 0.0000 0.0000 0.0000  6 Te 3.08-3.13
Dy: 0.0000 0.0000 0.5000  6 Te 3.08-3.13
Te: 0.0940 0.9060 0.2500  2 Au 2.80, 2 Dy 3.13
Te: 0.3574 0.6426 0.0566  1 Au 2.76, 2 Dy 3.08
Te: 0.3574 0.6426 0.4434  1 Au 2.76, 2 Dy 3.08
Te: 0.6426 0.3574 0.5566  1 Au 2.76, 2 Dy 3.08
Te: 0.6426 0.3574 0.9434  1 Au 2.76, 2 Dy 3.08
Te: 0.9060 0.0940 0.7500  2 Au 2.80, 2 Dy 3.13
Au: 0.4711 0.5289 0.2500  4 Te 2.76-2.80
Au: 0.5289 0.4711 0.7500  4 Te 2.76-2.80

Results
Crystal system: orthorhombic
E_tot (eV/atom): -3.945
Total magnetization (μB per cell): 0.03

=====

No. 4
Below is a relaxed structure of DyNbAu, with properties calculated at the PBE level.

Unit cell a=6.5587 b=6.5587 c=6.5587 alpha=90.00 beta=90.00 gamma=90.00
Last column: nearest neighbours and their distance in Å.
Atoms (fractional coordinates):
Dy: 0.0000 0.0000 0.0000  4 Nb 2.84
Dy: 0.0000 0.5000 0.5000  4 Nb 2.84
Dy: 0.5000 0.0000 0.5000  4 Nb 2.84
Dy: 0.5000 0.5000 0.0000  4 Nb 2.84
Nb: 0.2500 0.2500 0.7500  4 Dy 2.84, 4 Au 2.84
Nb: 0.2500 0.7500 0.2500  4 Dy 2.84, 4 Au 2.84
Nb: 0.7500 0.2500 0.2500  4 Dy 2.84, 4 Au 2.84
Nb: 0.7500 0.7500 0.7500  4 Dy 2.84, 4 Au 2.84
Au: 0.0000 0.0000 0.5000  4 Nb 2.84
Au: 0.0000 0.5000 0.0000  4 Nb 2.84
Au: 0.5000 0.0000 0.0000  4 Nb 2.84
Au: 0.5000 0.5000 0.5000  4 Nb 2.84

Results
Crystal system: cubic
Energy of formation (eV/atom): 0.583
E_tot (eV/atom): -5.404
Total magnetization (μB per cell): 3.90

=====

No. 5
Below is a relaxed structure of NdDyAu, with properties calculated at the PBE level.

Unit cell a=6.9486 b=6.9486 c=6.9486 alpha=90.00 beta=90.00 gamma=90.00
Last column: nearest neighbours and their distance in Å.
Atoms (fractional coordinates):
Nd: 0.0000 0.0000 0.0000  4 Dy 3.01
Nd: 0.0000 0.5000 0.5000  4 Dy 3.01
Nd: 0.5000 0.0000 0.5000  4 Dy 3.01
Nd: 0.5000 0.5000 0.0000  4 Dy 3.01
Dy: 0.2500 0.2500 0.7500  4 Nd 3.01, 4 Au 3.01
Dy: 0.2500 0.7500 0.2500  4 Nd 3.01, 4 Au 3.01
Dy: 0.7500 0.2500 0.2500  4 Nd 3.01, 4 Au 3.01
Dy: 0.7500 0.7500 0.7500  4 Au 3.01, 4 Nd 3.01
Au: 0.0000 0.0000 0.5000  4 Dy 3.01
Au: 0.0000 0.5000 0.0000  4 Dy 3.01
Au: 0.5000 0.0000 0.0000  4 Dy 3.01
Au: 0.5000 0.5000 0.5000  4 Dy 3.01

Results
Crystal system: cubic
Energy of formation (eV/atom): 0.068
Offset from the most stable computed form (meV/atom): 670
E_tot (eV/atom): -4.142
Total magnetization (μB per cell): 0.01

=====

No. 6
Below is a relaxed structure of NdDyAu4, with properties calculated at the PBE level.

Unit cell a=3.7711 b=3.7711 c=9.1637 alpha=90.00 beta=90.00 gamma=90.00
Last column: nearest neighbours and their distance in Å.
Atoms (fractional coordinates):
Nd: 0.0000 0.0000 0.0000  10 Au 3.10-3.11
Dy: 0.5000 0.5000 0.5000  10 Au 3.00-3.05
Au: 0.0000 0.0000 0.3393  5 Au 2.94-3.07, 4 Dy 3.05, 1 Nd 3.11
Au: 0.0000 0.0000 0.6607  5 Au 2.94-3.07, 4 Dy 3.05, 1 Nd 3.11
Au: 0.5000 0.5000 0.1727  1 Dy 3.00, 5 Au 3.07-3.17, 4 Nd 3.10
Au: 0.5000 0.5000 0.8273  1 Dy 3.00, 5 Au 3.07-3.17, 4 Nd 3.10

Results
Crystal system: tetragonal
Energy of formation (eV/atom): -0.818
E_tot (eV/atom): -4.556
Total magnetization (μB per cell): 0.00

=====

No. 7
Below is a relaxed structure of NdDyAu6, with properties calculated at the PBE level.

Unit cell a=5.0632 b=6.2724 c=5.1626 alpha=90.00 beta=90.00 gamma=90.00
Last column: nearest neighbours and their distance in Å.
Atoms (fractional coordinates):
Nd: 0.0000 0.0000 0.0000  12 Au 3.06-3.14
Dy: 0.5000 0.5000 0.6873  12 Au 3.00-3.14
Au: 0.0000 0.2658 0.5038  7 Au 2.94-3.14, 2 Nd 3.06-3.09, 2 Dy 3.08
Au: 0.0000 0.5000 0.0070  8 Au 2.96-3.11, 2 Dy 3.02, 2 Nd 3.14
Au: 0.0000 0.7342 0.5038  7 Au 2.94-3.14, 2 Nd 3.06-3.09, 2 Dy 3.08
Au: 0.5000 0.0000 0.6641  8 Au 2.94-3.14, 2 Nd 3.07, 2 Dy 3.14
Au: 0.5000 0.2508 0.1824  8 Au 2.94-3.15, 2 Dy 3.00-3.04, 2 Nd 3.13
Au: 0.5000 0.7492 0.1824  8 Au 2.94-3.15, 2 Dy 3.00-3.04, 2 Nd 3.13

Results
Crystal system: orthorhombic
Energy of formation (eV/atom): -0.696
E_tot (eV/atom): -4.316
Total magnetization (μB per cell): 0.00

=====

No. 8
Below is a relaxed structure of NdDyAu, with properties calculated at the PBE level.

Unit cell a=7.2796 b=5.0167 c=9.0221 alpha=90.00 beta=90.00 gamma=90.00
Last column: nearest neighbours and their distance in Å.
Atoms (fractional coordinates):
Nd: 0.0113 0.2500 0.1772  3 Au 3.04-3.24
Nd: 0.4887 0.7500 0.6772  3 Au 3.04-3.24
Nd: 0.5113 0.2500 0.3228  3 Au 3.04-3.24
Nd: 0.9887 0.7500 0.8228  3 Au 3.04-3.24
Dy: 0.1492 0.2500 0.5819  4 Au 2.89-3.07
Dy: 0.3508 0.7500 0.0819  4 Au 2.89-3.07
Dy: 0.6492 0.2500 0.9181  4 Au 2.89-3.07
Dy: 0.8508 0.7500 0.4181  4 Au 2.89-3.07
Au: 0.2473 0.7500 0.4022  4 Dy 2.89-3.07, 1 Nd 3.04
Au: 0.2527 0.2500 0.9022  4 Dy 2.89-3.07, 1 Nd 3.04
Au: 0.7473 0.7500 0.0978  4 Dy 2.89-3.07, 1 Nd 3.04
Au: 0.7527 0.2500 0.5978  4 Dy 2.89-3.07, 1 Nd 3.04

Results
Crystal system: orthorhombic
Energy of formation (eV/atom): -0.602
Offset from the most stable computed form (meV/atom): 0
E_tot (eV/atom): -4.812
Total magnetization (μB per cell): 0.01